Entry 1:
Computed, not measured: an optimized crystal structure of Tb2Sm6Y3Sc at the PBE level of DFT.

The structure belongs to space group C2/m (No. 12); the cell edges are 6.201, 10.738 and 11.772 Å and the angles 90.00°, 100.08° and 90.00°. Symmetry generates all atoms from Tb at (0.000, 0.167, 0.000), Sm at (0.247, 0.335, 0.247), Sm at (0.249, 0.500, 0.753), Y at (0.000, 0.000, 0.500), Y at (0.000, 0.334, 0.500) and Sc at (0.000, 0.500, 0.000).

For the total DFT energy (no corrections), the calculation gives -126.011 eV per cell. As for the calculated formation energy: 0.024 eV per atom. As for the density of states at the Fermi level: 30.5 states/eV/cell.



Entry 2:
Computed, not measured: an optimized crystal structure of Tb3SmY6Sc2 at the PBE level of DFT.

The structure belongs to space group C2/m (No. 12); the cell edges are 6.107, 10.567 and 11.674 Å and the angles 90.00°, 99.99° and 90.00°. Symmetry generates all atoms from Tb at (0.000, 0.000, 0.000), Tb at (0.000, 0.333, 0.000), Sm at (0.000, 0.500, 0.500), Y at (0.246, 0.000, 0.745), Y at (0.250, 0.168, 0.255) and Sc at (0.000, 0.167, 0.500).

For the total DFT energy (no corrections), the calculation gives -139.124 eV per cell. As for the calculated formation energy: 0.041 eV per atom. As for the density of states at the Fermi level: 35.9 states/eV/cell.